1.
VASP calculation (PBE) on crystalline PuCo3 at its relaxed geometry.

extended XYZ file:
```
12
Lattice="2.452 1.416 8.126 -2.452 1.416 8.126 0.000 -2.832 8.126" Properties=species:S:1:pos:R:3 pbc="T T T"
Pu 0.000 0.000 0.000
Pu 0.000 0.000 3.415
Pu 0.000 0.000 20.963
Co -1.229 -0.710 10.119
Co 0.000 0.000 8.130
Co 0.000 -1.419 14.260
Co -1.229 0.710 14.260
Co 0.000 0.000 12.189
Co 1.229 -0.710 10.119
Co 0.000 1.419 10.119
Co 0.000 0.000 16.248
Co 1.229 0.710 14.260
```


2.
VASP calculation (PBE) on crystalline Pu4Co at its relaxed geometry.

extended XYZ file:
```
10
Lattice="0.000 5.018 5.018 5.018 0.000 5.018 5.018 5.018 0.000" Properties=species:S:1:pos:R:3 pbc="T T T"
Pu 7.683 4.862 4.862
Pu 2.353 2.353 2.353
Pu 5.174 5.174 2.353
Pu 5.174 2.353 5.174
Pu 4.862 7.683 4.862
Pu 4.862 4.862 7.683
Pu 7.683 7.683 7.683
Pu 2.353 5.174 5.174
Co 3.764 3.764 3.764
Co 6.273 6.273 6.273
```

Calculated values
ΔE to the lowest computed polymorph in meV/atom: 128


3.
VASP calculation (PBE) on crystalline Pu2Co17 at its relaxed geometry.

extended XYZ file:
```
19
Lattice="4.137 2.389 4.015 -4.137 2.389 4.015 0.000 -4.777 4.015" Properties=species:S:1:pos:R:3 pbc="T T T"
Pu 0.000 0.000 1.891
Pu 0.000 0.000 10.154
Co -2.069 -1.194 4.015
Co 0.000 -2.382 3.833
Co -2.062 1.191 3.833
Co -1.204 -2.085 6.023
Co -2.407 0.000 6.023
Co -2.062 -1.191 8.212
Co 0.000 0.000 4.841
Co -2.069 1.194 8.030
Co 1.204 -2.085 6.023
Co 0.000 2.389 4.015
Co -1.204 2.085 6.023
Co 0.000 0.000 7.205
Co 2.062 1.191 3.833
Co 2.407 0.000 6.023
Co 1.204 2.085 6.023
Co 2.062 -1.191 8.212
Co 0.000 2.382 8.212
```


4.
VASP calculation (PBE) on crystalline Pu4Co at its relaxed geometry.

extended XYZ file:
```
5
Lattice="5.140 0.000 0.000 0.000 5.140 0.000 0.000 0.000 5.140" Properties=species:S:1:pos:R:3 pbc="T T T"
Pu 0.000 0.000 0.000
Pu 0.000 2.570 2.570
Pu 2.570 0.000 2.570
Pu 2.570 2.570 0.000
Co 2.570 2.570 2.570
```

Calculated values
ΔE to the lowest computed polymorph in meV/atom: 0


5.
VASP calculation (PBE) on crystalline PuCo3 at its relaxed geometry.

extended XYZ file:
```
4
Lattice="-1.904 1.904 3.798 1.904 -1.904 3.798 1.904 1.904 -3.798" Properties=species:S:1:pos:R:3 pbc="T T T"
Pu 0.000 0.000 0.000
Co 1.904 0.000 1.899
Co 0.000 0.000 3.798
Co 0.000 1.904 1.899
```


6.
VASP calculation (PBE) on crystalline Pu5Co at its relaxed geometry.

extended XYZ file:
```
6
Lattice="2.659 -7.352 0.000 2.659 7.352 0.000 0.000 0.000 3.234" Properties=species:S:1:pos:R:3 pbc="T T T"
Pu 0.000 0.000 0.000
Pu 2.659 4.680 1.617
Pu 2.659 2.100 0.000
Pu 2.659 -2.100 0.000
Pu 2.659 -4.680 1.617
Co 2.659 0.000 1.617
```


7.
VASP calculation (PBE) on crystalline Pu6Co at its relaxed geometry.

extended XYZ file:
```
14
Lattice="-5.245 5.245 2.609 5.245 -5.245 2.609 5.245 5.245 -2.609" Properties=species:S:1:pos:R:3 pbc="T T T"
Pu 4.232 1.013 0.000
Pu 8.213 1.015 0.000
Pu 1.015 2.276 0.000
Pu 6.260 2.969 0.000
Pu 2.969 4.230 0.000
Pu 4.232 -1.013 2.609
Pu 1.013 6.257 0.000
Pu 2.276 1.015 2.609
Pu -1.015 2.276 2.609
Pu 4.230 2.969 2.609
Pu -2.969 4.230 2.609
Pu 1.013 4.232 2.609
Co 0.000 0.000 1.304
Co 0.000 0.000 3.913
```


8.
VASP calculation (PBE) on crystalline Pu2Co at its relaxed geometry.

extended XYZ file:
```
9
Lattice="7.142 0.000 0.000 -3.571 6.185 0.000 0.000 0.000 4.252" Properties=species:S:1:pos:R:3 pbc="T T T"
Pu -0.948 1.641 0.000
Pu -2.120 3.672 2.126
Pu 1.895 0.000 0.000
Pu 1.451 2.513 2.126
Pu 4.240 0.000 2.126
Pu 2.623 4.544 0.000
Co 0.000 0.000 2.126
Co 0.000 4.123 0.000
Co 3.571 2.062 0.000
```


| no. | total magnetic moment (μB per atom) | DFT formation energy (eV/f.u.) | calculated density (g/cm3) |
| --- | --- | --- | --- |
| 1 | 0.41 | -0.517 | 12.38 |
| 2 | 4.37 | 2.258 | 13.60 |
| 3 | 0.77 | -1.257 | 10.39 |
| 4 | 4.64 | 1.621 | 12.65 |
| 5 | 0.31 | 0.389 | 12.69 |
| 6 | 1.04 | 1.047 | 16.80 |
| 7 | 1.30 | 0.962 | 17.62 |
| 8 | 3.59 | 0.287 | 14.51 |